No. 1
Ac5CoHg | PBE | optimized geometry

## Properties
ΔE_f in eV/atom: -0.103
Calculated density in g/cm³: 8.8
Size of the total moment in μB per cell: 0.0
Calculated total energy in eV per atom: -4.096

Structure (CIF):
```
data_Ac5CoHg
_space_group_name_H-M_alt 'P 1'
_space_group_IT_number 1
_space_group_name_Hall 'P 1'
_cell_length_a 7.231
_cell_length_b 7.231
_cell_length_c 10.283
_cell_angle_alpha 96.75
_cell_angle_beta 96.75
_cell_angle_gamma 97.90
loop_
_atom_site_label
_atom_site_type_symbol
_atom_site_fract_x
_atom_site_fract_y
_atom_site_fract_z
Ac1 Ac 0.922 0.350 0.135
Ac2 Ac 0.778 0.634 0.499
Ac3 Ac 0.350 0.922 0.635
Ac4 Ac 0.121 0.879 0.250
Ac5 Ac 0.366 0.222 0.001
Ac6 Ac 0.634 0.778 0.999
Ac7 Ac 0.879 0.121 0.750
Ac8 Ac 0.650 0.078 0.365
Ac9 Ac 0.222 0.366 0.501
Ac10 Ac 0.078 0.650 0.865
Co1 Co 0.000 0.000 0.000
Co2 Co 0.000 0.000 0.500
Hg1 Hg 0.431 0.569 0.250
Hg2 Hg 0.569 0.431 0.750
```


No. 2
YTm2Pd | PBE | optimized geometry

## Properties
Energy above the most stable polymorph in this dataset in kJ per mole of atoms: 0.0
ΔE_f in eV/atom: -0.493
Calculated density in g/cm³: 8.3
Size of the total moment in μB per cell: 0.0
Calculated total energy in eV per atom: -5.643

Structure (CIF):
```
data_YTm2Pd
_space_group_name_H-M_alt 'P 1'
_space_group_IT_number 1
_space_group_name_Hall 'P 1'
_cell_length_a 6.428
_cell_length_b 6.990
_cell_length_c 9.545
_cell_angle_alpha 90.00
_cell_angle_beta 90.00
_cell_angle_gamma 90.00
loop_
_atom_site_label
_atom_site_type_symbol
_atom_site_fract_x
_atom_site_fract_y
_atom_site_fract_z
Y1 Y 0.627 0.518 0.250
Y2 Y 0.873 0.018 0.250
Y3 Y 0.373 0.482 0.750
Y4 Y 0.127 0.982 0.750
Tm1 Tm 0.177 0.680 0.059
Tm2 Tm 0.323 0.180 0.441
Tm3 Tm 0.823 0.320 0.559
Tm4 Tm 0.677 0.820 0.941
Tm5 Tm 0.823 0.320 0.941
Tm6 Tm 0.677 0.820 0.559
Tm7 Tm 0.177 0.680 0.441
Tm8 Tm 0.323 0.180 0.059
Pd1 Pd 0.062 0.391 0.250
Pd2 Pd 0.438 0.891 0.250
Pd3 Pd 0.938 0.609 0.750
Pd4 Pd 0.562 0.109 0.750
```